No. 1
DFT (GGA-PBE) results for a relaxed MoAsOs2 crystal.

Values from the calculation:
- V: 15.013 Å³/atom
- Electronic total energy: -9.06 eV/atom

a b c (Å): 6.2162 6.2162 6.2162
angles (deg): 90.00 90.00 90.00
Sites, in units of the cell vectors:
Mo1 0.0000 0.0000 0.0000
Mo2 0.0000 0.5000 0.5000
Mo3 0.5000 0.0000 0.5000
Mo4 0.5000 0.5000 0.0000
As1 0.2500 0.2500 0.7500
As2 0.2500 0.7500 0.2500
As3 0.7500 0.2500 0.2500
As4 0.7500 0.7500 0.7500
Os1 0.0000 0.0000 0.5000
Os2 0.0000 0.5000 0.0000
Os3 0.2500 0.2500 0.2500
Os4 0.2500 0.7500 0.7500
Os5 0.5000 0.0000 0.0000
Os6 0.5000 0.5000 0.5000
Os7 0.7500 0.2500 0.7500
Os8 0.7500 0.7500 0.2500

=====

No. 2
DFT (GGA-PBE) results for a relaxed NdGdNi4Sn2 crystal.

Values from the calculation:
- V: 18.567 Å³/atom
- Electronic total energy: -5.46 eV/atom

a b c (Å): 4.3921 4.3921 8.8909
angles (deg): 90.00 90.00 120.00
Sites, in units of the cell vectors:
Nd1 0.0000 0.0000 0.0000
Gd1 0.6667 0.3333 0.5000
Ni1 0.0000 0.0000 0.3315
Ni2 0.0000 0.0000 0.6685
Ni3 0.6667 0.3333 0.1813
Ni4 0.6667 0.3333 0.8187
Sn1 0.3333 0.6667 0.2566
Sn2 0.3333 0.6667 0.7434

=====

No. 3
DFT (GGA-PBE) results for a relaxed NdCoSi2Pd crystal.

Values from the calculation:
- V: 16.824 Å³/atom
- Electronic total energy: -6.38 eV/atom

a b c (Å): 4.1144 4.1144 9.9383
angles (deg): 90.00 90.00 90.00
Sites, in units of the cell vectors:
Nd1 0.0000 0.0000 0.0000
Nd2 0.5000 0.5000 0.5000
Co1 0.0000 0.5000 0.7500
Co2 0.5000 0.0000 0.2500
Si1 0.0000 0.0000 0.3762
Si2 0.0000 0.0000 0.6238
Si3 0.5000 0.5000 0.1238
Si4 0.5000 0.5000 0.8762
Pd1 0.0000 0.5000 0.2500
Pd2 0.5000 0.0000 0.7500

=====

No. 4
DFT (GGA-PBE) results for a relaxed Er2AlGa3Co2 crystal.

Values from the calculation:
- V: 17.074 Å³/atom
- Electronic total energy: -5.06 eV/atom

a b c (Å): 9.8953 4.0314 6.8481
angles (deg): 90.00 90.26 90.00
Sites, in units of the cell vectors:
Er1 0.0000 0.0000 0.0000
Er2 0.1327 0.0000 0.5037
Er3 0.5000 0.5000 0.0000
Er4 0.6327 0.5000 0.5037
Al1 0.2213 0.5000 0.1957
Al2 0.7213 0.0000 0.1957
Ga1 0.2146 0.5000 0.8056
Ga2 0.4161 0.0000 0.3038
Ga3 0.4167 0.0000 0.6970
Ga4 0.7146 0.0000 0.8056
Ga5 0.9161 0.5000 0.3038
Ga6 0.9167 0.5000 0.6970
Co1 0.2765 0.0000 0.0006
Co2 0.3516 0.5000 0.5035
Co3 0.7765 0.5000 0.0006
Co4 0.8516 0.0000 0.5035

=====

No. 5
DFT (GGA-PBE) results for a relaxed Zn crystal.

Values from the calculation:
- Offset from the most stable computed form: 0.0127 eV per atom
- DFT formation energy: 0.013 eV/atom
- V: 14.757 Å³/atom

a b c (Å): 2.7399 2.7399 20.4284
angles (deg): 90.00 90.00 120.00
Sites, in units of the cell vectors:
Zn1 0.0000 0.0000 0.0000
Zn2 0.0000 0.0000 0.2220
Zn3 0.0000 0.0000 0.7780
Zn4 0.3333 0.6667 0.4446
Zn5 0.3333 0.6667 0.6667
Zn6 0.3333 0.6667 0.8887
Zn7 0.6667 0.3333 0.1113
Zn8 0.6667 0.3333 0.3333
Zn9 0.6667 0.3333 0.5554

=====

No. 6
DFT (GGA-PBE) results for a relaxed CoSiMo crystal.

Values from the calculation:
- Offset from the most stable computed form: 0.2888 eV per atom
- V: 14.128 Å³/atom

a b c (Å): 5.5346 5.5346 5.5346
angles (deg): 90.00 90.00 90.00
Sites, in units of the cell vectors:
Co1 0.0000 0.0000 0.0000
Co2 0.0000 0.5000 0.5000
Co3 0.5000 0.0000 0.5000
Co4 0.5000 0.5000 0.0000
Si1 0.2500 0.2500 0.2500
Si2 0.2500 0.7500 0.7500
Si3 0.7500 0.2500 0.7500
Si4 0.7500 0.7500 0.2500
Mo1 0.2500 0.2500 0.7500
Mo2 0.2500 0.7500 0.2500
Mo3 0.7500 0.2500 0.2500
Mo4 0.7500 0.7500 0.7500

=====

No. 7
DFT (GGA-PBE) results for a relaxed KDyAgTe3 crystal.

Values from the calculation:
- V: 33.197 Å³/atom
- Electronic total energy: -3.90 eV/atom

a b c (Å): 8.4548 8.4548 11.3722
angles (deg): 90.00 90.00 150.66
Sites, in units of the cell vectors:
K1 0.2430 0.7570 0.7500
K2 0.7570 0.2430 0.2500
Dy1 0.0000 0.0000 0.0000
Dy2 0.0000 0.0000 0.5000
Ag1 0.4648 0.5352 0.2500
Ag2 0.5352 0.4648 0.7500
Te1 0.0787 0.9213 0.2500
Te2 0.3681 0.6319 0.0486
Te3 0.3681 0.6319 0.4514
Te4 0.6319 0.3681 0.5486
Te5 0.6319 0.3681 0.9514
Te6 0.9213 0.0787 0.7500

=====

No. 8
DFT (GGA-PBE) results for a relaxed HfBeCoSi crystal.

Values from the calculation:
- Offset from the most stable computed form: 0.1455 eV per atom
- V: 13.038 Å³/atom

a b c (Å): 5.9307 5.9307 5.9307
angles (deg): 90.00 90.00 90.00
Sites, in units of the cell vectors:
Hf1 0.0000 0.0000 0.0000
Hf2 0.0000 0.5000 0.5000
Hf3 0.5000 0.0000 0.5000
Hf4 0.5000 0.5000 0.0000
Be1 0.2500 0.2500 0.7500
Be2 0.2500 0.7500 0.2500
Be3 0.7500 0.2500 0.2500
Be4 0.7500 0.7500 0.7500
Co1 0.0000 0.0000 0.5000
Co2 0.0000 0.5000 0.0000
Co3 0.5000 0.0000 0.0000
Co4 0.5000 0.5000 0.5000
Si1 0.2500 0.2500 0.2500
Si2 0.2500 0.7500 0.7500
Si3 0.7500 0.2500 0.7500
Si4 0.7500 0.7500 0.2500

=====

No. 9
DFT (GGA-PBE) results for a relaxed InCoCuTeSe2 crystal.

Values from the calculation:
- V: 20.867 Å³/atom
- Electronic total energy: -4.10 eV/atom

a b c (Å): 7.1720 7.1720 10.2392
angles (deg): 90.00 90.00 151.61
Sites, in units of the cell vectors:
In1 0.2123 0.7877 0.7500
In2 0.7877 0.2123 0.2500
Co1 0.5000 0.5000 0.0000
Co2 0.5000 0.5000 0.5000
Cu1 0.1373 0.8627 0.2500
Cu2 0.8627 0.1373 0.7500
Te1 0.4788 0.5212 0.2500
Te2 0.5212 0.4788 0.7500
Se1 0.1165 0.8835 0.0146
Se2 0.1165 0.8835 0.4854
Se3 0.8835 0.1165 0.5146
Se4 0.8835 0.1165 0.9854

=====

No. 10
DFT (GGA-PBE) results for a relaxed PmGdNi4 crystal.

Values from the calculation:
- DFT formation energy: -0.382 eV/atom
- V: 15.791 Å³/atom

a b c (Å): 5.1171 5.1171 5.1171
angles (deg): 60.00 60.00 60.00
Sites, in units of the cell vectors:
Pm1 0.0000 0.0000 0.0000
Gd1 0.2500 0.2500 0.2500
Ni1 0.1261 0.6246 0.6246
Ni2 0.6246 0.1261 0.6246
Ni3 0.6246 0.6246 0.1261
Ni4 0.6246 0.6246 0.6246

=====

No. 11
DFT (GGA-PBE) results for a relaxed Ni2BiMo crystal.

Values from the calculation:
- V: 15.648 Å³/atom
- Electronic total energy: -6.02 eV/atom

a b c (Å): 6.3027 6.3027 6.3027
angles (deg): 90.00 90.00 90.00
Sites, in units of the cell vectors:
Ni1 0.0000 0.0000 0.0000
Ni2 0.0000 0.5000 0.5000
Ni3 0.2500 0.2500 0.2500
Ni4 0.2500 0.7500 0.7500
Ni5 0.5000 0.0000 0.5000
Ni6 0.5000 0.5000 0.0000
Ni7 0.7500 0.2500 0.7500
Ni8 0.7500 0.7500 0.2500
Bi1 0.0000 0.0000 0.5000
Bi2 0.0000 0.5000 0.0000
Bi3 0.5000 0.0000 0.0000
Bi4 0.5000 0.5000 0.5000
Mo1 0.2500 0.2500 0.7500
Mo2 0.2500 0.7500 0.2500
Mo3 0.7500 0.2500 0.2500
Mo4 0.7500 0.7500 0.7500

=====

No. 12
DFT (GGA-PBE) results for a relaxed Tm3Lu3NiBi2 crystal.

Values from the calculation:
- Offset from the most stable computed form: 0.0000 eV per atom
- V: 26.466 Å³/atom

a b c (Å): 8.2713 8.2713 4.0203
angles (deg): 90.00 90.00 120.00
Sites, in units of the cell vectors:
Tm1 0.0000 0.3906 0.0000
Tm2 0.3906 0.0000 0.0000
Tm3 0.6094 0.6094 0.0000
Lu1 0.0000 0.7663 0.5000
Lu2 0.2337 0.2337 0.5000
Lu3 0.7663 0.0000 0.5000
Ni1 0.0000 0.0000 0.0000
Bi1 0.3333 0.6667 0.5000
Bi2 0.6667 0.3333 0.5000

=====

No. 13
DFT (GGA-PBE) results for a relaxed SrTmPbCl2O2 crystal.

Values from the calculation:
- V: 22.351 Å³/atom
- Electronic total energy: -5.47 eV/atom

a b c (Å): 12.5742 4.0989 7.4658
angles (deg): 90.00 125.59 90.00
Sites, in units of the cell vectors:
Sr1 0.0000 0.0000 0.0000
Sr2 0.5000 0.5000 0.0000
Tm1 0.3234 0.5000 0.3511
Tm2 0.8234 0.0000 0.3511
Pb1 0.1210 0.5000 0.7492
Pb2 0.6210 0.0000 0.7492
Cl1 0.2427 0.0000 0.4939
Cl2 0.3908 0.0000 0.1843
Cl3 0.7427 0.5000 0.4939
Cl4 0.8908 0.5000 0.1843
O1 0.0018 0.0000 0.6736
O2 0.1244 0.5000 0.0686
O3 0.5018 0.5000 0.6736
O4 0.6244 0.0000 0.0686

=====

No. 14
DFT (GGA-PBE) results for a relaxed NdLu2In3AgPt2 crystal.

Values from the calculation:
- V: 22.224 Å³/atom
- Electronic total energy: -4.90 eV/atom

a b c (Å): 3.7735 7.8470 7.8470
angles (deg): 120.59 90.00 90.00
Sites, in units of the cell vectors:
Nd1 0.0000 0.0000 0.0000
Lu1 0.0000 0.4081 0.8181
Lu2 0.0000 0.8181 0.4081
In1 0.5000 0.1397 0.4123
In2 0.5000 0.4123 0.1397
In3 0.5000 0.6734 0.6734
Ag1 0.0000 0.4110 0.4110
Pt1 0.5000 0.0777 0.7343
Pt2 0.5000 0.7343 0.0777

=====

No. 15
DFT (GGA-PBE) results for a relaxed Cs3KBi2Au2 crystal.

Values from the calculation:
- V: 43.491 Å³/atom
- Electronic total energy: -2.72 eV/atom

a b c (Å): 6.9953 7.3789 7.1902
angles (deg): 90.00 110.37 90.00
Sites, in units of the cell vectors:
Cs1 0.0000 0.0000 0.0000
Cs2 0.0170 0.5000 0.6995
Cs3 0.6599 0.0000 0.3315
K1 0.3562 0.5000 0.3712
Bi1 0.2570 0.0000 0.5892
Bi2 0.7491 0.5000 0.1122
Au1 0.5111 0.2526 0.8397
Au2 0.5111 0.7474 0.8397

=====

No. 16
DFT (GGA-PBE) results for a relaxed Pm3Sm2Ho crystal.

Values from the calculation:
- DFT formation energy: -0.005 eV/atom
- V: 33.320 Å³/atom

a b c (Å): 6.2874 6.2874 11.6820
angles (deg): 90.00 90.00 59.98
Sites, in units of the cell vectors:
Pm1 0.0000 0.0000 0.0000
Pm2 0.0000 0.0000 0.5000
Pm3 0.3344 0.3344 0.0000
Pm4 0.3344 0.3344 0.5000
Pm5 0.6656 0.6656 0.0000
Pm6 0.6656 0.6656 0.5000
Sm1 0.0007 0.3332 0.2500
Sm2 0.3332 0.0007 0.7500
Sm3 0.6668 0.9993 0.2500
Sm4 0.9993 0.6668 0.7500
Ho1 0.3331 0.6669 0.2500
Ho2 0.6669 0.3331 0.7500

=====

No. 17
DFT (GGA-PBE) results for a relaxed PrGdFe2Si2C crystal.

Values from the calculation:
- V: 16.342 Å³/atom
- Electronic total energy: -7.21 eV/atom

a b c (Å): 10.7494 3.9903 6.9243
angles (deg): 90.00 129.62 90.00
Sites, in units of the cell vectors:
Pr1 0.0000 0.0000 0.0000
Pr2 0.5000 0.5000 0.0000
Gd1 0.1202 0.0000 0.5932
Gd2 0.6202 0.5000 0.5932
Fe1 0.2615 0.5000 0.3923
Fe2 0.3641 0.0000 0.2100
Fe3 0.7615 0.0000 0.3923
Fe4 0.8641 0.5000 0.2100
Si1 0.2293 0.5000 0.0266
Si2 0.3942 0.0000 0.5707
Si3 0.7293 0.0000 0.0266
Si4 0.8942 0.5000 0.5707
C1 0.0644 0.5000 0.3073
C2 0.5644 0.0000 0.3073

=====

No. 18
DFT (GGA-PBE) results for a relaxed Gd3Nb2Os3 crystal.

Values from the calculation:
- DFT formation energy: 0.080 eV/atom
- V: 21.723 Å³/atom

a b c (Å): 7.2793 7.2793 7.2793
angles (deg): 44.73 44.73 44.73
Sites, in units of the cell vectors:
Gd1 0.0000 0.0000 0.0000
Gd2 0.4223 0.4223 0.4223
Gd3 0.5777 0.5777 0.5777
Nb1 0.2678 0.2678 0.2678
Nb2 0.7322 0.7322 0.7322
Os1 0.0000 0.0000 0.5000
Os2 0.0000 0.5000 0.0000
Os3 0.5000 0.0000 0.0000

=====

No. 19
DFT (GGA-PBE) results for a relaxed HfCuTc2 crystal.

Values from the calculation:
- DFT formation energy: -0.036 eV/atom
- V: 15.443 Å³/atom

a b c (Å): 6.2751 6.2751 6.2751
angles (deg): 90.00 90.00 90.00
Sites, in units of the cell vectors:
Hf1 0.0000 0.0000 0.0000
Hf2 0.0000 0.5000 0.5000
Hf3 0.5000 0.0000 0.5000
Hf4 0.5000 0.5000 0.0000
Cu1 0.2500 0.2500 0.7500
Cu2 0.2500 0.7500 0.2500
Cu3 0.7500 0.2500 0.2500
Cu4 0.7500 0.7500 0.7500
Tc1 0.0000 0.0000 0.5000
Tc2 0.0000 0.5000 0.0000
Tc3 0.2500 0.2500 0.2500
Tc4 0.2500 0.7500 0.7500
Tc5 0.5000 0.0000 0.0000
Tc6 0.5000 0.5000 0.5000
Tc7 0.7500 0.2500 0.7500
Tc8 0.7500 0.7500 0.2500

=====

No. 20
DFT (GGA-PBE) results for a relaxed Zr4O11 crystal.

Values from the calculation:
- Offset from the most stable computed form: 0.0325 eV per atom
- V: 12.101 Å³/atom

a b c (Å): 3.5568 6.2767 8.7467
angles (deg): 76.33 89.88 73.54
Sites, in units of the cell vectors:
Zr1 0.0000 0.0000 0.0000
Zr2 0.0106 0.9764 0.5231
Zr3 0.2588 0.4828 0.9590
Zr4 0.6950 0.6111 0.3257
O1 0.0944 0.8080 0.8361
O2 0.1722 0.6535 0.4544
O3 0.1724 0.6557 0.1443
O4 0.4246 0.1512 0.8998
O5 0.4844 0.0274 0.6128
O6 0.5046 0.9903 0.1782
O7 0.5141 0.9714 0.3477
O8 0.7434 0.5092 0.7331
O9 0.7965 0.3887 0.6344
O10 0.8232 0.3532 0.0450
O11 0.8568 0.2861 0.3693

=====

No. 21
DFT (GGA-PBE) results for a relaxed Lu4Zr2Sb3C3 crystal.

Values from the calculation:
- V: 19.508 Å³/atom
- Electronic total energy: -6.99 eV/atom

a b c (Å): 6.0979 6.0979 14.9642
angles (deg): 101.87 101.87 60.02
Sites, in units of the cell vectors:
Lu1 0.0333 0.1938 0.0893
Lu2 0.1333 0.3036 0.4107
Lu3 0.1938 0.0333 0.5893
Lu4 0.3036 0.1333 0.9107
Lu5 0.6964 0.8667 0.0893
Lu6 0.8062 0.9667 0.4107
Lu7 0.8667 0.6964 0.5893
Lu8 0.9667 0.8062 0.9107
Zr1 0.3581 0.5277 0.0824
Zr2 0.4723 0.6419 0.4176
Zr3 0.5277 0.3581 0.5824
Zr4 0.6419 0.4723 0.9176
Sb1 0.0975 0.9025 0.2500
Sb2 0.2663 0.4160 0.7507
Sb3 0.4160 0.2663 0.2507
Sb4 0.5840 0.7337 0.7493
Sb5 0.7337 0.5840 0.2493
Sb6 0.9025 0.0975 0.7500
C1 0.0000 0.5000 0.0000
C2 0.1811 0.6597 0.5000
C3 0.3403 0.8189 0.0000
C4 0.5000 0.0000 0.5000
C5 0.6597 0.1811 0.0000
C6 0.8189 0.3403 0.5000

=====

No. 22
DFT (GGA-PBE) results for a relaxed Er3In2Ag crystal.

Values from the calculation:
- V: 25.041 Å³/atom
- Electronic total energy: -4.08 eV/atom

a b c (Å): 3.5716 3.5716 11.7782
angles (deg): 90.00 90.00 90.00
Sites, in units of the cell vectors:
Er1 0.0000 0.0000 0.0000
Er2 0.0000 0.0000 0.3468
Er3 0.0000 0.0000 0.6532
In1 0.5000 0.5000 0.1746
In2 0.5000 0.5000 0.8254
Ag1 0.5000 0.5000 0.5000

=====

No. 23
DFT (GGA-PBE) results for a relaxed Hf2S crystal.

Values from the calculation:
- V: 21.973 Å³/atom
- Electronic total energy: -7.44 eV/atom

a b c (Å): 5.7128 5.7128 5.7128
angles (deg): 60.00 60.00 60.00
Sites, in units of the cell vectors:
Hf1 0.0000 0.0000 0.0000
Hf2 0.0000 0.0000 0.5000
Hf3 0.0000 0.5000 0.0000
Hf4 0.5000 0.0000 0.0000
S1 0.3750 0.3750 0.3750
S2 0.6250 0.6250 0.6250

=====

No. 24
DFT (GGA-PBE) results for a relaxed Cs2Nd2SeO3 crystal.

Values from the calculation:
- V: 23.036 Å³/atom
- Electronic total energy: -5.93 eV/atom

a b c (Å): 3.8122 3.8122 14.6425
angles (deg): 90.00 90.00 120.00
Sites, in units of the cell vectors:
Cs1 0.0000 0.0000 0.0000
Cs2 0.3333 0.6667 0.5381
Nd1 0.6667 0.3333 0.3035
Nd2 0.6667 0.3333 0.7656
Se1 0.3333 0.6667 0.1737
O1 0.0000 0.0000 0.3737
O2 0.0000 0.0000 0.6826
O3 0.3333 0.6667 0.8379

=====

No. 25
DFT (GGA-PBE) results for a relaxed Be2AsPt crystal.

Values from the calculation:
- V: 13.192 Å³/atom
- Electronic total energy: -4.35 eV/atom

a b c (Å): 5.9540 5.9540 5.9540
angles (deg): 90.00 90.00 90.00
Sites, in units of the cell vectors:
Be1 0.0000 0.0000 0.0000
Be2 0.0000 0.5000 0.5000
Be3 0.2500 0.2500 0.2500
Be4 0.2500 0.7500 0.7500
Be5 0.5000 0.0000 0.5000
Be6 0.5000 0.5000 0.0000
Be7 0.7500 0.2500 0.7500
Be8 0.7500 0.7500 0.2500
As1 0.0000 0.0000 0.5000
As2 0.0000 0.5000 0.0000
As3 0.5000 0.0000 0.0000
As4 0.5000 0.5000 0.5000
Pt1 0.2500 0.2500 0.7500
Pt2 0.2500 0.7500 0.2500
Pt3 0.7500 0.2500 0.2500
Pt4 0.7500 0.7500 0.7500